Arrangement 1

The following is a PBE-GGA calculation of a relaxed CaTl2Ge crystal, from Alexandria. Values from VASP.

**Crystal system**: tetragonal

Cell and atoms, written as Quantum ESPRESSO input:
```
&SYSTEM
  ibrav = 0, nat = 8, ntyp = 3
/
ATOMIC_SPECIES
Tl 204.38 Tl.upf
Ca 40.08 Ca.upf
Ge 72.64 Ge.upf
CELL_PARAMETERS angstrom
8.6671 0.0000 0.0000
0.0000 8.6671 0.0000
4.3335 4.3335 3.0520
ATOMIC_POSITIONS angstrom
Tl 6.9491 2.1668 0.7630
Tl 1.7180 6.5003 0.7630
Tl 6.5003 6.0515 2.2890
Tl 10.8339 11.2827 2.2890
Ca 4.3335 4.3335 0.0000
Ca 4.3335 8.6671 1.5260
Ge 0.0000 0.0000 0.0000
Ge 8.6671 4.3335 1.5260
```



Arrangement 2

The following is a PBE-GGA calculation of a relaxed CaTl2Ge crystal, from Alexandria. Values from VASP.

**Crystal system**: cubic

Cell and atoms, written as Quantum ESPRESSO input:
```
&SYSTEM
  ibrav = 0, nat = 4, ntyp = 3
/
ATOMIC_SPECIES
Tl 204.38 Tl.upf
Ca 40.08 Ca.upf
Ge 72.64 Ge.upf
CELL_PARAMETERS angstrom
0.0000 3.7860 3.7860
3.7860 0.0000 3.7860
3.7860 3.7860 0.0000
ATOMIC_POSITIONS angstrom
Tl 1.8930 1.8930 1.8930
Tl 5.6790 5.6790 5.6790
Ca 0.0000 0.0000 0.0000
Ge 3.7860 3.7860 3.7860
```



Stability order, top to bottom: arrangement 2, arrangement 1



Arrangement 1

The following is a PBE-GGA calculation of a relaxed CaTl2Ge crystal, from Alexandria. Values from VASP.

**Crystal system**: trigonal

Cell and atoms, written as Quantum ESPRESSO input:
```
&SYSTEM
  ibrav = 0, nat = 4, ntyp = 3
/
ATOMIC_SPECIES
Tl 204.38 Tl.upf
Ca 40.08 Ca.upf
Ge 72.64 Ge.upf
CELL_PARAMETERS angstrom
3.6058 0.0000 0.0000
1.8029 3.1228 0.0000
1.8029 1.0409 11.0200
ATOMIC_POSITIONS angstrom
Tl 1.8029 1.0409 7.8225
Tl 5.4088 3.1228 3.1975
Ca 0.0000 0.0000 0.0000
Ge 3.6058 2.0818 5.5100
```



Arrangement 2

The following is a PBE-GGA calculation of a relaxed CaTl2Ge crystal, from Alexandria. Values from VASP.

**Crystal system**: tetragonal

Cell and atoms, written as Quantum ESPRESSO input:
```
&SYSTEM
  ibrav = 0, nat = 4, ntyp = 3
/
ATOMIC_SPECIES
Tl 204.38 Tl.upf
Ca 40.08 Ca.upf
Ge 72.64 Ge.upf
CELL_PARAMETERS angstrom
4.8809 0.0000 0.0000
0.0000 4.6232 0.0000
0.0000 0.0000 4.6232
ATOMIC_POSITIONS angstrom
Tl 0.0000 0.0000 2.3116
Tl 0.0000 2.3116 0.0000
Ca 2.4404 0.0000 0.0000
Ge 2.4404 2.3116 2.3116
```



Stability order, top to bottom: arrangement 2, arrangement 1